NaLaY2Tc: optimized geometry, PBE-GGA.

Cell lengths 5.558, 5.558, 5.408 Å; angles 90.00, 90.00, 90.00 degrees
Sites, in units of the cell vectors:
Na 0.000 0.000 0.000
La 0.500 0.500 0.000
Y 0.000 0.500 0.500
Y 0.500 0.000 0.500
Tc 0.500 0.500 0.500

Crystal system = tetragonal
Spin magnetization = 0.00 μB per atom
ΔE_f = 115 meV/atom